[1]
Density functional theory data (PBE) for a geometry-optimized SrLi2V2 structure.

The structure belongs to space group P4/mbm (No. 127); the cell edges are 8.1987, 8.1987 and 3.1851 Å and the angles 90.00°, 90.00° and 90.00°. The distinct sites, in fractional coordinates, are Sr at (0.0000, 0.0000, 0.0000), Li at (0.2020, 0.2980, 0.5000) and V at (0.0796, 0.5796, 0.0000).

The energy above the lowest structure with this stoichiometry comes out at 0.000 eV per atom. The calculation puts the volume at 21.41 Å³ per atom. The calculation puts the formation energy at 0.604 eV per atom. The total magnetization is 0.000 μB per formula unit.



[2]
Density functional theory data (PBE) for a geometry-optimized Al2CrRu structure.

The structure belongs to space group Imm2 (No. 44); the cell edges are 3.0402, 4.1750 and 8.6552 Å and the angles 90.00°, 90.00° and 90.00°. The distinct sites, in fractional coordinates, are Al at (0.0000, 0.0000, 0.0000), Al at (0.0000, 0.5000, 0.2298), Cr at (0.0000, 0.5000, 0.7489) and Ru at (0.0000, 0.0000, 0.4835).

The calculation puts the volume at 13.73 Å³ per atom. The calculation puts the formation energy at -0.295 eV per atom. The total magnetization is 1.733 μB per formula unit.



[3]
Density functional theory data (PBE) for a geometry-optimized YHoTm2N4 structure.

The structure belongs to space group P2/m (No. 10); the cell edges are 5.9463, 3.4340 and 5.9469 Å and the angles 90.00°, 109.45° and 90.00°. The distinct sites, in fractional coordinates, are Y at (0.0000, 0.0000, 0.0000), Ho at (0.5000, 0.5000, 0.0000), Tm at (0.0000, 0.5000, 0.5000), Tm at (0.5000, 0.0000, 0.5000), N at (0.2498, 0.0000, 0.7464) and N at (0.2524, 0.5000, 0.2543).

For the formation energy from raw total energies, the calculation gives -14.17 eV per formula unit. The calculation puts the volume at 14.31 Å³ per atom. The total magnetization is 0.000 μB per formula unit.